Below is crystalline Fe2ReRu at its relaxed geometry, with properties calculated at the GGA-PBEsol level.

## Properties
Its total energy is -10.229 eV per atom. The formation energy is 0.129 eV per atom. For the density of states at the Fermi level, the calculation gives 7.2 states/eV per cell.

Cell lengths 2.939, 4.120, 8.246 Å; angles 90.00, 90.00, 90.00 degrees
Space group Imm2 (No. 44)
One atom of each set of equivalent atoms:
Fe (0.000, 0.000, 0.000) (multiplicity 2)
Fe (0.000, 0.500, 0.274) (multiplicity 2)
Re (0.000, 0.500, 0.750) (multiplicity 2)
Ru (0.000, 0.000, 0.518) (multiplicity 2)

---

Below is crystalline Ba2CaAg at its relaxed geometry, with properties calculated at the GGA-PBEsol level.

## Properties
Its total energy is -2.503 eV per atom. The calculation puts the energy above the lowest structure with this stoichiometry at 29 meV/atom. The formation energy is -0.068 eV per atom. For the density of states at the Fermi level, the calculation gives 9.3 states/eV per cell.

Cell lengths 4.056, 6.150, 12.890 Å; angles 90.00, 90.00, 90.00 degrees
Space group Imm2 (No. 44)
One atom of each set of equivalent atoms:
Ba (0.000, 0.000, 0.000) (multiplicity 2)
Ba (0.000, 0.500, 0.191) (multiplicity 2)
Ca (0.000, 0.500, 0.809) (multiplicity 2)
Ag (0.000, 0.000, 0.484) (multiplicity 2)

---

The highest density of states at the Fermi level belongs to which entry? Ba2CaAg